This record from Alexandria describes a geometry-optimized Ac6NdIn structure. The functional is GGA-PBE.

Cell and atoms, written as POSCAR:
```
Ac6NdIn
1.0
-2.946 0.625 4.514
-0.958 -5.340 0.114
7.064 -3.845 8.404
Nd Ac In
1 6 1
direct
0.500 0.500 0.000
0.117 0.617 0.767
0.383 0.883 0.233
0.617 0.117 0.767
0.750 0.750 0.500
0.883 0.383 0.233
0.250 0.250 0.500
0.000 0.000 0.000
```

ΔE_f: -54 kJ/mol of formula units
total magnetization: 0.0000 μB per atom